CaLaCo2O6 PBE+U optimized geometry; crystal system = cubic; uncorrected energy = -6.52 eV per atom; spin magnetization = 3.82 μB per cell
1.0
4.336 1.746 2.644
-0.258 0.888 5.290
2.569 -3.268 3.400
Ca La Co O
1 1 2 6
direct
0.500 0.500 0.500 Ca
0.000 0.000 0.000 La
0.250 0.250 0.250 Co
0.750 0.750 0.750 Co
0.000 0.000 0.500 O
0.500 0.500 0.000 O
0.000 0.500 0.000 O
0.500 0.000 0.500 O
0.500 0.000 0.000 O
0.000 0.500 0.500 O